Entry 1:
Here is crystalline CaPrTl at its relaxed geometry from the Alexandria database. Energies are from PBE-GGA.

Cell and atoms, written as CIF:
```
data_CaPrTl
_chemical_formula_sum 'Ca2 Pr2 Tl2'
_cell_length_a 5.3819
_cell_length_b 5.3821
_cell_length_c 7.9574
_cell_angle_alpha 90.02
_cell_angle_beta 90.02
_cell_angle_gamma 60.01
_symmetry_space_group_name_H-M 'P 1'
_symmetry_Int_Tables_number 1
loop_
_symmetry_equiv_pos_as_xyz
'x,y,z'
loop_
_atom_site_label
_atom_site_type_symbol
_atom_site_fract_x
_atom_site_fract_y
_atom_site_fract_z
_atom_site_occupancy
Ca1 Ca 0.6667 0.1667 0.3779 1
Ca2 Ca 0.3333 0.8333 0.6221 1
Tl1 Tl 0.0000 0.5000 0.7771 1
Tl2 Tl 0.0000 0.5000 0.2229 1
Pr1 Pr 0.6666 0.1666 0.8926 1
Pr2 Pr 0.3334 0.8334 0.1074 1
```

Computed properties:
The value obtained for the total energy is -0.2402 Ry/atom. For the theoretical density, the calculation gives 6.41 Mg/m³. As for the formation energy: -0.22 eV/atom. As for the space group: P-3m1 (164). The calculation puts the size of the total moment at 0.0 Bohr magnetons per cell.

---

Entry 2:
Here is crystalline Ca2PrTl at its relaxed geometry from the Alexandria database. Energies are from PBE-GGA.

Cell and atoms, written as CIF:
```
data_Ca2PrTl
_chemical_formula_sum 'Ca4 Pr2 Tl2'
_cell_length_a 5.5700
_cell_length_b 5.5858
_cell_length_c 10.1920
_cell_angle_alpha 90.00
_cell_angle_beta 90.00
_cell_angle_gamma 119.96
_symmetry_space_group_name_H-M 'P 1'
_symmetry_Int_Tables_number 1
loop_
_symmetry_equiv_pos_as_xyz
'x,y,z'
loop_
_atom_site_label
_atom_site_type_symbol
_atom_site_fract_x
_atom_site_fract_y
_atom_site_fract_z
_atom_site_occupancy
Tl1 Tl 0.3318 0.6646 0.2500 1
Tl2 Tl 0.6682 0.3354 0.7500 1
Ca1 Ca 0.3338 0.6673 0.9298 1
Ca2 Ca 0.6662 0.3327 0.0702 1
Ca3 Ca 0.3338 0.6673 0.5702 1
Ca4 Ca 0.6662 0.3327 0.4298 1
Pr1 Pr 0.9991 0.9987 0.2500 1
Pr2 Pr 0.0009 0.0013 0.7500 1
```

Computed properties:
The value obtained for the total energy is -0.2180 Ry/atom. For the theoretical density, the calculation gives 5.14 Mg/m³. As for the formation energy: -0.18 eV/atom. As for the space group: Cmcm (63). The calculation puts the size of the total moment at 0.0 Bohr magnetons per cell.

---

Entry 3:
Here is crystalline CaPrTl at its relaxed geometry from the Alexandria database. Energies are from PBE-GGA.

Cell and atoms, written as CIF:
```
data_CaPrTl
_chemical_formula_sum 'Ca2 Pr2 Tl2'
_cell_length_a 5.5619
_cell_length_b 5.5619
_cell_length_c 7.0433
_cell_angle_alpha 90.00
_cell_angle_beta 90.00
_cell_angle_gamma 120.01
_symmetry_space_group_name_H-M 'P 1'
_symmetry_Int_Tables_number 1
loop_
_symmetry_equiv_pos_as_xyz
'x,y,z'
loop_
_atom_site_label
_atom_site_type_symbol
_atom_site_fract_x
_atom_site_fract_y
_atom_site_fract_z
_atom_site_occupancy
Ca1 Ca 0.0000 0.5000 0.5000 1
Ca2 Ca 0.0000 0.5000 0.0000 1
Tl1 Tl 0.6666 0.8334 0.7500 1
Tl2 Tl 0.3334 0.1666 0.2500 1
Pr1 Pr 0.3332 0.1668 0.7500 1
Pr2 Pr 0.6668 0.8332 0.2500 1
```

Computed properties:
The value obtained for the total energy is -0.2518 Ry/atom. For the theoretical density, the calculation gives 6.78 Mg/m³. As for the formation energy: -0.38 eV/atom. As for the space group: P6_3/mmc (194). The calculation puts the size of the total moment at 0.0 Bohr magnetons per cell.

---

Entry 4:
Here is crystalline Ca3Pr2Tl4 at its relaxed geometry from the Alexandria database. Energies are from PBE-GGA.

Cell and atoms, written as CIF:
```
data_Ca3Pr2Tl4
_chemical_formula_sum 'Ca3 Pr2 Tl4'
_cell_length_a 5.4938
_cell_length_b 5.4974
_cell_length_c 10.6969
_cell_angle_alpha 89.94
_cell_angle_beta 89.99
_cell_angle_gamma 60.03
_symmetry_space_group_name_H-M 'P 1'
_symmetry_Int_Tables_number 1
loop_
_symmetry_equiv_pos_as_xyz
'x,y,z'
loop_
_atom_site_label
_atom_site_type_symbol
_atom_site_fract_x
_atom_site_fract_y
_atom_site_fract_z
_atom_site_occupancy
Tl1 Tl 0.6667 0.6668 0.8924 1
Tl2 Tl 0.0005 0.9988 0.3417 1
Tl3 Tl 0.9995 0.0012 0.6583 1
Tl4 Tl 0.3333 0.3332 0.1076 1
Pr1 Pr 0.6667 0.6665 0.2038 1
Pr2 Pr 0.3333 0.3335 0.7962 1
Ca1 Ca 0.3336 0.3327 0.4197 1
Ca2 Ca 0.0000 0.0000 0.0000 1
Ca3 Ca 0.6664 0.6673 0.5803 1
```

Computed properties:
The value obtained for the total energy is -0.2299 Ry/atom. For the theoretical density, the calculation gives 7.24 Mg/m³. As for the formation energy: -0.35 eV/atom. As for the space group: C2/m (12). The calculation puts the size of the total moment at 0.0 Bohr magnetons per cell.